DFT (PBE) results for CaScPb2 after structural relaxation.

Summary:
The space group is No. 166. As for the total magnetization: 0.000 μB/atom. The energy of formation comes out at -345 meV/atom.

Lattice parameters (Å, degrees): 9.664 9.664 9.664 22.31 22.31 22.31
Fractional positions:
Ca 0.000 0.000 0.000
Sc 0.500 0.500 0.500
Pb 0.246 0.246 0.246
Pb 0.754 0.754 0.754

DFT (PBE) results for Si2PtPb after structural relaxation.

Summary:
The space group is No. 122. As for the total magnetization: 0.000 μB/atom. As for the uncorrected formation energy: 56 meV per atom.

Lattice parameters (Å, degrees): 7.258 7.258 7.258 133.03 133.03 68.60
Fractional positions:
Si 0.055 0.625 0.930
Si 0.375 0.305 0.430
Si 0.695 0.125 0.070
Si 0.875 0.945 0.570
Pt 0.000 0.000 0.000
Pt 0.750 0.250 0.500
Pb 0.250 0.750 0.500
Pb 0.500 0.500 0.000